No. 1
# KBaSb2

A relaxed structure of KBaSb2 (PBE-GGA, Alexandria via LeMat-Bulk).

```
KBaSb2
1.0
-5.6937 -1.2690 -0.5072
-1.6675 -5.3546 -1.6832
-2.5471 -3.6148 3.8381
Sb Ba K
2 1 1
direct
0.2500 0.2500 0.2500 Sb
0.0000 0.0000 0.0000 Sb
0.5000 0.5000 0.5000 Ba
0.7500 0.7500 0.7500 K
```

Properties
Relative energy among the computed polymorphs   351.8 meV/atom
Space group   F-43m (216)
E   -12.45 eV per cell

No. 2
# GaNi2Sb2

A relaxed structure of GaNi2Sb2 (PBE-GGA, Alexandria via LeMat-Bulk).

```
GaNi2Sb2
1.0
-5.0809 1.1336 4.4555
4.4186 -0.6301 5.1991
0.6968 3.6920 -0.1447
Ni Sb Ga
4 4 2
direct
0.3676 0.8676 0.0000 Ni
0.8676 0.6324 0.0000 Ni
0.6324 0.1324 0.0000 Ni
0.1324 0.3676 0.0000 Ni
0.6673 0.8327 0.5000 Sb
0.8327 0.3327 0.5000 Sb
0.3327 0.1673 0.5000 Sb
0.1673 0.6673 0.5000 Sb
0.0000 0.0000 0.0000 Ga
0.5000 0.5000 0.0000 Ga
```

Properties
Relative energy among the computed polymorphs   0.0 meV/atom
Space group   P4/mbm (127)
E   -45.54 eV per cell

No. 3
# RbBa2TePb

A relaxed structure of RbBa2TePb (PBE-GGA, Alexandria via LeMat-Bulk).

```
RbBa2TePb
1.0
6.6441 0.0000 0.0000
0.0000 6.4279 0.0000
0.0000 0.0000 6.6441
Pb Te Ba Rb
1 1 2 1
direct
0.0000 0.5000 0.0000 Pb
0.0000 0.0000 0.0000 Te
0.0000 0.0000 0.5000 Ba
0.5000 0.0000 0.0000 Ba
0.5000 0.5000 0.5000 Rb
```

Properties
Space group   P4/mmm (123)
E   -13.77 eV per cell

> Which of these has the lowest E?

GaNi2Sb2